Record 1
# TlC3 | the Alexandria database | PBE | relaxed
# E above lowest polymorph: 3784 meV per atom
# D(E_F): 1.0222 states/eV per atom
# Formation enthalpy at 0 K: 4.563 eV/atom
# Total moment: 1.088 μB per atom
data_TlC3
_space_group_name_H-M_alt 'P m -3 m'
_space_group_IT_number 221
_space_group_name_Hall '-P 4 2 3'
_cell_length_a 4.6777
_cell_length_b 4.6777
_cell_length_c 4.6777
_cell_angle_alpha 90.00
_cell_angle_beta 90.00
_cell_angle_gamma 90.00
loop_
_atom_site_label
_atom_site_fract_x
_atom_site_fract_y
_atom_site_fract_z
Tl1 0.0000 0.0000 0.0000
C1 0.0000 0.0000 0.5000

=====

Record 2
# Ho6SiS12 | the Alexandria database | PBE | relaxed
# D(E_F): 0.6687 states/eV per atom
# ΔE_f (raw): -1601.1 meV per atom
# Total moment: 0.002 μB per atom
data_Ho6SiS12
_space_group_name_H-M_alt 'R -3'
_space_group_IT_number 148
_space_group_name_Hall '-R 3'
_cell_length_a 11.6096
_cell_length_b 11.6096
_cell_length_c 11.0171
_cell_angle_alpha 90.00
_cell_angle_beta 90.00
_cell_angle_gamma 120.00
loop_
_atom_site_label
_atom_site_fract_x
_atom_site_fract_y
_atom_site_fract_z
Ho1 0.0548 0.4471 0.3154
Si1 0.0000 0.0000 0.0000
S1 0.0400 0.2192 0.4000
S2 0.0553 0.1917 0.8875

=====

Record 3
# GdZr2Al | the Alexandria database | PBE | relaxed
# E above lowest polymorph: 144 meV per atom
# D(E_F): 0.9583 states/eV per atom
# Formation enthalpy at 0 K: -0.035 eV/atom
# Total moment: 1.831 μB per atom
data_GdZr2Al
_space_group_name_H-M_alt 'F m -3 m'
_space_group_IT_number 225
_space_group_name_Hall '-F 4 2 3'
_cell_length_a 7.1036
_cell_length_b 7.1036
_cell_length_c 7.1036
_cell_angle_alpha 90.00
_cell_angle_beta 90.00
_cell_angle_gamma 90.00
loop_
_atom_site_label
_atom_site_fract_x
_atom_site_fract_y
_atom_site_fract_z
Gd1 0.0000 0.0000 0.0000
Zr1 0.2500 0.2500 0.2500
Al1 0.0000 0.0000 0.5000

=====

Record 4
# KIn2Te2 | the Alexandria database | PBE | relaxed
# E above lowest polymorph: 106 meV per atom
# D(E_F): 0.4167 states/eV per atom
# ΔE_f (raw): -374.0 meV per atom
# Total moment: 0.000 μB per atom
data_KIn2Te2
_space_group_name_H-M_alt 'I 4/m m m'
_space_group_IT_number 139
_space_group_name_Hall '-I 4 2'
_cell_length_a 4.6970
_cell_length_b 4.6970
_cell_length_c 15.8790
_cell_angle_alpha 90.00
_cell_angle_beta 90.00
_cell_angle_gamma 90.00
loop_
_atom_site_label
_atom_site_fract_x
_atom_site_fract_y
_atom_site_fract_z
K1 0.0000 0.0000 0.0000
In1 0.0000 0.5000 0.2500
Te1 0.0000 0.0000 0.4043

=====

Record 5
# Sr2HoPaS6 | the Alexandria database | PBE | relaxed
# D(E_F): 0.0000 states/eV per atom
# ΔE_f (raw): -1960.2 meV per atom
# Total moment: 0.000 μB per atom
data_Sr2HoPaS6
_space_group_name_H-M_alt 'P 1 21/c 1'
_space_group_IT_number 14
_space_group_name_Hall '-P 2ybc'
_cell_length_a 6.9740
_cell_length_b 7.4421
_cell_length_c 12.2662
_cell_angle_alpha 90.00
_cell_angle_beta 124.20
_cell_angle_gamma 90.00
loop_
_atom_site_label
_atom_site_fract_x
_atom_site_fract_y
_atom_site_fract_z
Sr1 0.2210 0.0790 0.2480
Ho1 0.0000 0.0000 0.5000
Pa1 0.5000 0.0000 0.0000
S1 0.1368 0.1927 0.9415
S2 0.2509 0.7005 0.9383
S3 0.3676 0.0366 0.7531

=====

Record 6
# CaLa2Se | the Alexandria database | PBE | relaxed
# D(E_F): 1.3404 states/eV per atom
# ΔE_f (raw): -554.5 meV per atom
# Total moment: 0.000 μB per atom
data_CaLa2Se
_space_group_name_H-M_alt 'C m m m'
_space_group_IT_number 65
_space_group_name_Hall '-C 2 2'
_cell_length_a 6.5278
_cell_length_b 9.4726
_cell_length_c 3.8932
_cell_angle_alpha 90.00
_cell_angle_beta 90.00
_cell_angle_gamma 90.00
loop_
_atom_site_label
_atom_site_fract_x
_atom_site_fract_y
_atom_site_fract_z
Ca1 0.0000 0.0000 0.0000
La1 0.2500 0.2500 0.5000
Se1 0.0000 0.5000 0.0000

=====

Record 7
# Hf2Ga2H | the Alexandria database | PBE | relaxed
# E above lowest polymorph: 38 meV per atom
# D(E_F): 0.4807 states/eV per atom
# Total moment: 0.000 μB per atom
data_Hf2Ga2H
_space_group_name_H-M_alt 'P 4/m b m'
_space_group_IT_number 127
_space_group_name_Hall '-P 4 2ab'
_cell_length_a 5.9359
_cell_length_b 5.9359
_cell_length_c 4.7323
_cell_angle_alpha 90.00
_cell_angle_beta 90.00
_cell_angle_gamma 90.00
loop_
_atom_site_label
_atom_site_fract_x
_atom_site_fract_y
_atom_site_fract_z
Hf1 0.1703 0.3297 0.0000
Ga1 0.1561 0.6561 0.5000
H1 0.0000 0.0000 0.0000

=====

Record 8
# LiMoPCl2 | the Alexandria database | PBE | relaxed
# E above lowest polymorph: 0 meV per atom
# D(E_F): 0.5946 states/eV per atom
# ΔE_f (raw): -286.9 meV per atom
# Total moment: 0.316 μB per atom
data_LiMoPCl2
_space_group_name_H-M_alt 'P 4/m m m'
_space_group_IT_number 123
_space_group_name_Hall '-P 4 2'
_cell_length_a 5.0444
_cell_length_b 5.0444
_cell_length_c 4.6757
_cell_angle_alpha 90.00
_cell_angle_beta 90.00
_cell_angle_gamma 90.00
loop_
_atom_site_label
_atom_site_fract_x
_atom_site_fract_y
_atom_site_fract_z
Li1 0.0000 0.0000 0.0000
Mo1 0.5000 0.5000 0.5000
P1 0.5000 0.5000 0.0000
Cl1 0.0000 0.5000 0.5000

=====

Record 9
# Tl2AgIr | the Alexandria database | PBE | relaxed
# E above lowest polymorph: 129 meV per atom
# D(E_F): 0.5950 states/eV per atom
# Formation enthalpy at 0 K: 0.448 eV/atom
# Total moment: 0.000 μB per atom
data_Tl2AgIr
_space_group_name_H-M_alt 'R -3 m'
_space_group_IT_number 166
_space_group_name_Hall '-R 3 2"'
_cell_length_a 3.2324
_cell_length_b 3.2324
_cell_length_c 27.7140
_cell_angle_alpha 90.00
_cell_angle_beta 90.00
_cell_angle_gamma 120.00
loop_
_atom_site_label
_atom_site_fract_x
_atom_site_fract_y
_atom_site_fract_z
Tl1 0.0000 0.0000 0.2446
Ag1 0.0000 0.0000 0.0000
Ir1 0.0000 0.0000 0.5000

=====

Record 10
# Hf3ReRh | the Alexandria database | PBE | relaxed
# E above lowest polymorph: 0 meV per atom
# D(E_F): 1.5075 states/eV per atom
# Formation enthalpy at 0 K: 0.750 eV/atom
# Total moment: 0.000 μB per atom
data_Hf3ReRh
_space_group_name_H-M_alt 'P m -3 m'
_space_group_IT_number 221
_space_group_name_Hall '-P 4 2 3'
_cell_length_a 4.9604
_cell_length_b 4.9604
_cell_length_c 4.9604
_cell_angle_alpha 90.00
_cell_angle_beta 90.00
_cell_angle_gamma 90.00
loop_
_atom_site_label
_atom_site_fract_x
_atom_site_fract_y
_atom_site_fract_z
Hf1 0.0000 0.0000 0.5000
Re1 0.0000 0.0000 0.0000
Rh1 0.5000 0.5000 0.5000

=====

Record 11
# LaZrRu | the Alexandria database | PBE | relaxed
# E above lowest polymorph: 967 meV per atom
# D(E_F): 1.1123 states/eV per atom
# Formation enthalpy at 0 K: 0.808 eV/atom
# Total moment: 0.000 μB per atom
data_LaZrRu
_space_group_name_H-M_alt 'F -4 3 m'
_space_group_IT_number 216
_space_group_name_Hall 'F -4 2 3'
_cell_length_a 6.5329
_cell_length_b 6.5329
_cell_length_c 6.5329
_cell_angle_alpha 90.00
_cell_angle_beta 90.00
_cell_angle_gamma 90.00
loop_
_atom_site_label
_atom_site_fract_x
_atom_site_fract_y
_atom_site_fract_z
La1 0.0000 0.0000 0.0000
Zr1 0.2500 0.2500 0.7500
Ru1 0.2500 0.2500 0.2500

=====

Record 12
# B2C | the Alexandria database | PBE | relaxed
# E above lowest polymorph: 184 meV per atom
# D(E_F): 0.1430 states/eV per atom
# Formation enthalpy at 0 K: 0.369 eV/atom
# Total moment: 0.000 μB per atom
data_B2C
_space_group_name_H-M_alt 'C 1 m 1'
_space_group_IT_number 8
_space_group_name_Hall 'C -2y'
_cell_length_a 12.9757
_cell_length_b 2.6601
_cell_length_c 5.0048
_cell_angle_alpha 90.00
_cell_angle_beta 101.30
_cell_angle_gamma 90.00
loop_
_atom_site_label
_atom_site_fract_x
_atom_site_fract_y
_atom_site_fract_z
B1 0.0000 0.0000 0.0000
B2 0.0022 0.0000 0.5906
B3 0.1514 0.0000 0.5641
B4 0.1653 0.5000 0.9651
B5 0.1916 0.5000 0.3915
B6 0.2691 0.5000 0.7450
B7 0.2914 0.5000 0.1678
B8 0.3733 0.0000 0.7474
C1 0.1028 0.0000 0.8537
C2 0.3698 0.0000 0.2335
C3 0.4364 0.0000 0.5122
C4 0.4456 0.0000 0.0429